(1)
Entry from Alexandria via LeMat-Bulk: crystalline Cs2AgOs at its relaxed geometry (GGA-PBE).

Structure (CIF):
```
data_Cs2AgOs
_cell_length_a 13.0911
_cell_length_b 13.0911
_cell_length_c 5.2601
_cell_angle_alpha 90.00
_cell_angle_beta 90.00
_cell_angle_gamma 90.00
_symmetry_space_group_name_H-M 'I 41/a m d'
_symmetry_Int_Tables_number 141
loop_
_symmetry_equiv_pos_as_xyz
'x,y,z'
'-x,-y,-z'
'-y+1/4,x+3/4,z+1/4'
'y+1/4,-x+3/4,-z+1/4'
'-x+1/2,-y,z+1/2'
'x+1/2,y,-z+1/2'
'y+1/4,-x+1/4,z+3/4'
'-y+1/4,x+1/4,-z+3/4'
'x,-y,-z'
'-x,y,z'
'-y+1/4,-x+1/4,-z+3/4'
'y+1/4,x+1/4,z+3/4'
'-x+1/2,y,-z+1/2'
'x+1/2,-y,z+1/2'
'y+1/4,x+3/4,-z+1/4'
'-y+1/4,-x+3/4,z+1/4'
'x+1/2,y+1/2,z+1/2'
'-x+1/2,-y+1/2,-z+1/2'
'-y+3/4,x+1/4,z+3/4'
'y+3/4,-x+1/4,-z+3/4'
'-x,-y+1/2,z'
'x,y+1/2,-z'
'y+3/4,-x+3/4,z+1/4'
'-y+3/4,x+3/4,-z+1/4'
'x+1/2,-y+1/2,-z+1/2'
'-x+1/2,y+1/2,z+1/2'
'-y+3/4,-x+3/4,-z+1/4'
'y+3/4,x+3/4,z+1/4'
'-x,y+1/2,-z'
'x,-y+1/2,z'
'y+3/4,x+1/4,-z+3/4'
'-y+3/4,-x+1/4,z+3/4'
loop_
_atom_site_label
_atom_site_fract_x
_atom_site_fract_y
_atom_site_fract_z
Cs1 0.0000 0.0000 0.0000
Ag1 0.0000 0.2500 0.3750
Os1 0.0000 0.2500 0.8750
```

Energy of formation from the pure elements ... 1.208 eV/atom
Crystal system ... tetragonal
Excess energy over the best structure of this formula in the dataset ... 0.0 meV per atom

***

(2)
Entry from Alexandria via LeMat-Bulk: crystalline CsAg2OsPb at its relaxed geometry (GGA-PBE).

Structure (CIF):
```
data_CsAg2OsPb
_cell_length_a 5.5818
_cell_length_b 5.5818
_cell_length_c 5.2246
_cell_angle_alpha 90.00
_cell_angle_beta 90.00
_cell_angle_gamma 90.00
_symmetry_space_group_name_H-M 'P 4/m m m'
_symmetry_Int_Tables_number 123
_symmetry_space_group_name_Hall '-P 4 2'
loop_
_atom_site_label
_atom_site_fract_x
_atom_site_fract_y
_atom_site_fract_z
Cs1 0.0000 0.0000 0.0000
Ag1 0.0000 0.5000 0.0000
Os1 0.0000 0.0000 0.5000
Pb1 0.5000 0.5000 0.5000
```

Energy of formation from the pure elements ... 2.149 eV/atom
Crystal system ... tetragonal

***

(3)
Entry from Alexandria via LeMat-Bulk: crystalline CsAg2SbOs at its relaxed geometry (GGA-PBE).

Structure (CIF):
```
data_CsAg2SbOs
_cell_length_a 5.5118
_cell_length_b 5.5118
_cell_length_c 5.2160
_cell_angle_alpha 90.00
_cell_angle_beta 90.00
_cell_angle_gamma 90.00
_symmetry_space_group_name_H-M 'P 4/m m m'
_symmetry_Int_Tables_number 123
_symmetry_space_group_name_Hall '-P 4 2'
loop_
_atom_site_label
_atom_site_fract_x
_atom_site_fract_y
_atom_site_fract_z
Cs1 0.0000 0.0000 0.0000
Ag1 0.0000 0.5000 0.0000
Sb1 0.5000 0.5000 0.5000
Os1 0.0000 0.0000 0.5000
```

Crystal system ... tetragonal
Formation energy (no corrections) ... 2.281 eV per atom

***

(4)
Entry from Alexandria via LeMat-Bulk: crystalline CsY2AgOs at its relaxed geometry (GGA-PBE).

Structure (CIF):
```
data_CsY2AgOs
_cell_length_a 5.3717
_cell_length_b 5.3717
_cell_length_c 6.1815
_cell_angle_alpha 90.00
_cell_angle_beta 90.00
_cell_angle_gamma 90.00
_symmetry_space_group_name_H-M 'P 4/m m m'
_symmetry_Int_Tables_number 123
_symmetry_space_group_name_Hall '-P 4 2'
loop_
_atom_site_label
_atom_site_fract_x
_atom_site_fract_y
_atom_site_fract_z
Cs1 0.0000 0.0000 0.0000
Y1 0.0000 0.5000 0.5000
Ag1 0.5000 0.5000 0.0000
Os1 0.0000 0.0000 0.5000
```

Energy of formation from the pure elements ... 0.588 eV/atom
Crystal system ... tetragonal

***

(5)
Entry from Alexandria via LeMat-Bulk: crystalline CsZr2AgOs at its relaxed geometry (GGA-PBE).

Structure (CIF):
```
data_CsZr2AgOs
_cell_length_a 5.0748
_cell_length_b 5.0748
_cell_length_c 5.6591
_cell_angle_alpha 90.00
_cell_angle_beta 90.00
_cell_angle_gamma 90.00
_symmetry_space_group_name_H-M 'P 4/m m m'
_symmetry_Int_Tables_number 123
_symmetry_space_group_name_Hall '-P 4 2'
loop_
_atom_site_label
_atom_site_fract_x
_atom_site_fract_y
_atom_site_fract_z
Cs1 0.0000 0.0000 0.0000
Zr1 0.0000 0.5000 0.5000
Ag1 0.5000 0.5000 0.0000
Os1 0.5000 0.5000 0.5000
```

Energy of formation from the pure elements ... 0.629 eV/atom
Crystal system ... tetragonal

***

(6)
Entry from Alexandria via LeMat-Bulk: crystalline Cs4AgP2 at its relaxed geometry (GGA-PBE).

Structure (CIF):
```
data_Cs4AgP2
_cell_length_a 6.1756
_cell_length_b 6.1756
_cell_length_c 28.6641
_cell_angle_alpha 90.00
_cell_angle_beta 90.00
_cell_angle_gamma 120.00
_symmetry_space_group_name_H-M 'R -3 m'
_symmetry_Int_Tables_number 166
_symmetry_space_group_name_Hall '-R 3 2"'
loop_
_atom_site_label
_atom_site_fract_x
_atom_site_fract_y
_atom_site_fract_z
Cs1 0.0000 0.0000 0.1194
Cs2 0.0000 0.0000 0.2918
Ag1 0.0000 0.0000 0.5000
P1 0.0000 0.0000 0.4166
```

Energy of formation from the pure elements ... -0.223 eV/atom
Crystal system ... trigonal

***

Number 1: spin magnetization 2.0 μB/f.u.. Number 2: spin magnetization 0.1 μB/f.u.. Number 3: spin magnetization 1.2 μB/f.u.. Number 4: spin magnetization 0.0 μB/f.u.. Number 5: spin magnetization 0.0 μB/f.u.. Number 6: spin magnetization 1.1 μB/f.u..